Arrangement i

A plane-wave DFT calculation with PBE-GGA was carried out for RhAuI2O after structural relaxation.

Computed properties:
DOS(E_F), states/eV per atom: 1.369
Total magnetic moment, μB per atom: 0.560
Symmetry: P4/mmm (123)

a = 5.7080 Å, b = 5.7080 Å, c = 3.9317 Å
α = 90.00°, β = 90.00°, γ = 90.00°
Closest atoms and distances in Å follow each position.
Sites, in units of the cell vectors:
Rh 0.0000 0.0000 0.0000  8 I 3.47
Au 0.5000 0.5000 0.5000  2 O 1.97
I 0.0000 0.5000 0.5000  2 Au 2.85
I 0.5000 0.0000 0.5000  2 Au 2.85
O 0.5000 0.5000 0.0000  2 Au 1.97

---

Arrangement ii

A plane-wave DFT calculation with PBE-GGA was carried out for RhAuI2O after structural relaxation.

Computed properties:
DOS(E_F), states/eV per atom: 0.646
Total magnetic moment, μB per atom: 0.000
Symmetry: P4/mmm (123)

a = 5.6329 Å, b = 5.6329 Å, c = 3.7304 Å
α = 90.00°, β = 90.00°, γ = 90.00°
Closest atoms and distances in Å follow each position.
Sites, in units of the cell vectors:
Rh 0.0000 0.0000 0.0000  2 O 1.87
Au 0.5000 0.5000 0.5000  8 I 3.38, 2 Au 3.73
I 0.0000 0.5000 0.0000  2 Rh 2.82
I 0.5000 0.0000 0.0000  2 Rh 2.82
O 0.0000 0.0000 0.5000  2 Rh 1.87

---

arrangement ii is preferred energetically. Next in line: 639 meV per atom higher.

---

Arrangement i

A plane-wave DFT calculation with PBE-GGA was carried out for RuAuIO2 after structural relaxation.

Computed properties:
DOS(E_F), states/eV per atom: 1.239
Total magnetic moment, μB per atom: 0.772
Symmetry: P4/mmm (123)

a = 3.9351 Å, b = 3.9351 Å, c = 7.3736 Å
α = 90.00°, β = 90.00°, γ = 90.00°
Closest atoms and distances in Å follow each position.
Sites, in units of the cell vectors:
Ru 0.0000 0.0000 0.0000  4 I 2.78
Au 0.5000 0.5000 0.5000  4 O 1.97
I 0.5000 0.5000 0.0000  4 Ru 2.78
O 0.0000 0.5000 0.5000  2 Au 1.97
O 0.5000 0.0000 0.5000  2 Au 1.97

---

Arrangement ii

A plane-wave DFT calculation with PBE-GGA was carried out for RuAuIO2 after structural relaxation.

Computed properties:
DOS(E_F), states/eV per atom: 0.891
Total magnetic moment, μB per atom: 0.000
Symmetry: P4/mmm (123)

a = 3.8337 Å, b = 3.8337 Å, c = 6.9613 Å
α = 90.00°, β = 90.00°, γ = 90.00°
Closest atoms and distances in Å follow each position.
Sites, in units of the cell vectors:
Ru 0.0000 0.0000 0.0000  4 O 1.92
Au 0.5000 0.5000 0.5000  4 I 2.71
I 0.0000 0.0000 0.5000  4 Au 2.71
O 0.0000 0.5000 0.0000  2 Ru 1.92
O 0.5000 0.0000 0.0000  2 Ru 1.92

---

arrangement ii is preferred energetically. Next in line: 1077 meV per atom higher.

---

Arrangement i

A plane-wave DFT calculation with PBE-GGA was carried out for SbAuI2O after structural relaxation.

Computed properties:
DOS(E_F), states/eV per atom: 0.877
Total magnetic moment, μB per atom: 0.000
Symmetry: P4/mmm (123)

a = 5.9952 Å, b = 5.9952 Å, c = 4.0530 Å
α = 90.00°, β = 90.00°, γ = 90.00°
Closest atoms and distances in Å follow each position.
Sites, in units of the cell vectors:
Sb 0.0000 0.0000 0.0000  2 O 2.03
Au 0.5000 0.5000 0.0000  8 I 3.62
I 0.0000 0.5000 0.5000  2 O 3.00
I 0.5000 0.0000 0.5000  2 O 3.00
O 0.0000 0.0000 0.5000  2 Sb 2.03

---

Arrangement ii

A plane-wave DFT calculation with PBE-GGA was carried out for SbAuI2O after structural relaxation.

Computed properties:
DOS(E_F), states/eV per atom: 1.450
Total magnetic moment, μB per atom: 0.000
Symmetry: P4/mmm (123)

a = 5.8547 Å, b = 5.8547 Å, c = 3.9663 Å
α = 90.00°, β = 90.00°, γ = 90.00°
Closest atoms and distances in Å follow each position.
Sites, in units of the cell vectors:
Sb 0.0000 0.0000 0.0000  8 I 3.54
Au 0.5000 0.5000 0.5000  2 O 1.98
I 0.0000 0.5000 0.5000  2 Au 2.93
I 0.5000 0.0000 0.5000  2 Au 2.93
O 0.5000 0.5000 0.0000  2 Au 1.98

---

Arrangement iii

A plane-wave DFT calculation with PBE-GGA was carried out for SbAuI2O after structural relaxation.

Computed properties:
DOS(E_F), states/eV per atom: 2.573
Total magnetic moment, μB per atom: 0.000
Symmetry: P4/mmm (123)

a = 5.5322 Å, b = 5.5322 Å, c = 5.4655 Å
α = 90.00°, β = 90.00°, γ = 90.00°
Closest atoms and distances in Å follow each position.
Sites, in units of the cell vectors:
Sb 0.0000 0.0000 0.0000  2 Au 2.73
Au 0.0000 0.0000 0.5000  2 Sb 2.73, 4 I 2.77
I 0.0000 0.5000 0.5000  2 Au 2.77
I 0.5000 0.0000 0.5000  2 Au 2.77
O 0.5000 0.5000 0.0000  8 I 3.89, 4 Sb 3.91

---

Arrangement iv

A plane-wave DFT calculation with PBE-GGA was carried out for SbAuI2O after structural relaxation.

Computed properties:
DOS(E_F), states/eV per atom: 0.441
Total magnetic moment, μB per atom: 0.000
Symmetry: P4/mmm (123)

a = 6.0459 Å, b = 6.0459 Å, c = 4.0575 Å
α = 90.00°, β = 90.00°, γ = 90.00°
Closest atoms and distances in Å follow each position.
Sites, in units of the cell vectors:
Sb 0.0000 0.0000 0.0000  2 O 2.03
Au 0.5000 0.5000 0.5000  8 I 3.64, 2 Au 4.06
I 0.0000 0.5000 0.0000  2 Sb 3.02
I 0.5000 0.0000 0.0000  2 Sb 3.02
O 0.0000 0.0000 0.5000  2 Sb 2.03

---

arrangement iv is preferred energetically. Next in line: 332 meV per atom higher.